No. 1
A relaxed Mn2CuRe crystal, computed with PBE.

Values from the calculation:
DFT formation energy	0.288	eV per atom
ρ	11.64	Mg/m³
energy	-8.4326	eV/atom
total magnetic moment	4.0	μB/f.u.
offset from the most stable computed form	0.62	eV per formula unit

Cell lengths 4.171, 4.171, 4.171 Å; angles 60.00, 60.00, 60.00 degrees
Atoms (fractional coordinates):
Mn1 0.000 0.000 0.000
Mn2 0.250 0.250 0.250
Cu1 0.750 0.750 0.750
Re1 0.500 0.500 0.500

=====

No. 2
A relaxed Ag6Br2Cl5 crystal, computed with PBE.

Values from the calculation:
ρ	4.59	Mg/m³
E_form (uncorrected)	-331	meV/atom
energy	-2.6143	eV/atom
total magnetic moment	0.0	μB/f.u.

Cell lengths 8.032, 8.032, 13.938 Å; angles 102.68, 102.68, 54.89 degrees
Atoms (fractional coordinates):
Ag1 0.045 0.093 0.123
Ag2 0.093 0.045 0.623
Ag3 0.106 0.490 0.917
Ag4 0.378 0.450 0.171
Ag5 0.450 0.378 0.671
Ag6 0.490 0.106 0.417
Ag7 0.510 0.894 0.583
Ag8 0.550 0.622 0.329
Ag9 0.622 0.550 0.829
Ag10 0.894 0.510 0.083
Ag11 0.907 0.955 0.377
Ag12 0.955 0.907 0.877
Br1 0.193 0.296 0.543
Br2 0.296 0.193 0.043
Br3 0.704 0.807 0.957
Br4 0.807 0.704 0.457
Cl1 0.025 0.664 0.234
Cl2 0.241 0.711 0.019
Cl3 0.250 0.750 0.750
Cl4 0.289 0.759 0.481
Cl5 0.336 0.975 0.266
Cl6 0.664 0.025 0.734
Cl7 0.711 0.241 0.519
Cl8 0.750 0.250 0.250
Cl9 0.759 0.289 0.981
Cl10 0.975 0.336 0.766

=====

No. 3
A relaxed Li2HfS3 crystal, computed with PBE.

Values from the calculation:
ρ	4.47	Mg/m³
E_form (uncorrected)	-1524	meV/atom
energy	-5.8848	eV/atom
total magnetic moment	0.0	μB/f.u.
offset from the most stable computed form	0.00	eV per formula unit

Cell lengths 6.385, 6.385, 6.440 Å; angles 99.60, 99.60, 119.96 degrees
Atoms (fractional coordinates):
Li1 0.000 0.000 0.000
Li2 0.166 0.834 0.500
Li3 0.500 0.500 0.500
Li4 0.834 0.166 0.500
Hf1 0.333 0.667 0.000
Hf2 0.667 0.333 0.000
S1 0.080 0.427 0.240
S2 0.266 0.266 0.757
S3 0.427 0.080 0.240
S4 0.573 0.920 0.760
S5 0.734 0.734 0.243
S6 0.920 0.573 0.760

=====

No. 4
A relaxed TbIrPbO6 crystal, computed with PBE.

Values from the calculation:
ρ	8.36	Mg/m³
E_form (uncorrected)	-1472	meV/atom
energy	-6.6888	eV/atom
total magnetic moment	0.0	μB/f.u.

Cell lengths 5.622, 5.622, 9.497 Å; angles 90.00, 90.00, 120.00 degrees
Atoms (fractional coordinates):
Tb1 0.333 0.667 0.250
Tb2 0.667 0.333 0.750
Ir1 0.333 0.667 0.750
Ir2 0.667 0.333 0.250
Pb1 0.000 0.000 0.000
Pb2 0.000 0.000 0.500
O1 0.042 0.385 0.634
O2 0.042 0.657 0.866
O3 0.343 0.385 0.866
O4 0.343 0.958 0.634
O5 0.385 0.042 0.134
O6 0.385 0.343 0.366
O7 0.615 0.657 0.634
O8 0.615 0.958 0.866
O9 0.657 0.042 0.366
O10 0.657 0.615 0.134
O11 0.958 0.343 0.134
O12 0.958 0.615 0.366

=====

No. 5
A relaxed SiTe2Ir crystal, computed with PBE.

Values from the calculation:
ρ	9.80	Mg/m³
E_form (uncorrected)	540	meV/atom
energy	-4.6015	eV/atom
total magnetic moment	0.0	μB/f.u.

Cell lengths 4.983, 4.983, 3.244 Å; angles 90.00, 90.00, 90.00 degrees
Atoms (fractional coordinates):
Si1 0.000 0.000 0.000
Te1 0.000 0.500 0.500
Te2 0.500 0.000 0.500
Ir1 0.500 0.500 0.000

=====

No. 6
A relaxed HoGaRh crystal, computed with PBE.

Values from the calculation:
DFT formation energy	-0.705	eV per atom
ρ	9.97	Mg/m³
energy	-5.6900	eV/atom
total magnetic moment	0.0	μB/f.u.

Cell lengths 5.608, 5.608, 5.608 Å; angles 145.53, 145.53, 49.54 degrees
Atoms (fractional coordinates):
Ho1 0.000 0.000 0.000
Ga1 0.702 0.702 0.000
Rh1 0.320 0.320 0.000